BaNdPdO4 (PBE-GGA, relaxed); final energy = -45.1 eV/f.u.; volume = 251.0 Å³/cell; raw formation energy = -184.5 kJ/mol of atoms
1.0
-3.364 3.673 5.078
3.364 -3.673 5.078
3.364 3.673 -5.078
Ba Nd Pd O
2 2 2 8
Direct
0.397 0.147 0.250
0.603 0.853 0.750
0.000 0.500 0.500
0.500 0.500 0.000
0.000 0.000 0.500
0.000 0.500 0.000
0.165 0.738 0.427
0.190 0.262 0.927
0.252 0.285 0.533
0.252 0.719 0.967
0.748 0.281 0.033
0.748 0.715 0.467
0.810 0.738 0.073
0.835 0.262 0.573